A relaxed structure of Sm4MgCd, computed with PBE-GGA.

```
Sm4MgCd
1.0
-3.132 -0.344 -1.579
-1.812 -5.460 0.848
-6.063 2.055 7.643
Sm Mg Cd
4 1 1
Cartesian
-3.957 -2.842 0.601
-6.513 -4.710 2.143
-4.494 0.961 4.769
-7.049 -0.907 6.311
0.000 0.000 0.000
-5.503 -1.874 3.456
```

Computed properties:
- Energy relative to the elements: 0.08 eV per atom
- DFT total energy: -3.48 eV per atom
- SG: C2/m (12)
- Polymorph energy (0 for the lowest one): 207 meV/atom